DFT (PBE) results for an optimized crystal structure of NpPd2F11.

Computed properties:
The calculation puts the formation energy from raw total energies at -1920 meV/atom. Its spin magnetization is 0.28 μB/cell. As for the space-group type: Ibam.

abc: 7.5860 8.4673 8.4673
angles: 72.32 63.39 63.39
With the nearest neighbours (Å) after each atom.
Fractional coordinates of all 28 atoms:
1 Np 0.7500 0.7500 0.7500  8 F 2.13
2 Np 0.2500 0.2500 0.2500  8 F 2.13
3 Pd 0.6334 0.6792 0.3208  3 F 1.99-2.10
4 Pd 0.3666 0.3208 0.6792  3 F 1.99-2.10
5 Pd 0.8666 0.1792 0.8208  3 F 1.99-2.10
6 Pd 0.1334 0.8208 0.1792  3 F 1.99-2.10
7 F 0.6385 0.7102 0.5800  1 Np 2.13, 1 Pd 2.31
8 F 0.3615 0.2898 0.4200  1 Np 2.13, 1 Pd 2.31
9 F 0.0712 0.5800 0.7102  1 Np 2.13, 1 Pd 2.31
10 F 0.8615 0.9200 0.7898  1 Np 2.13, 1 Pd 2.31
11 F 0.9288 0.4200 0.2898  1 Np 2.13, 1 Pd 2.31
12 F 0.1385 0.0800 0.2102  1 Np 2.13, 1 Pd 2.31
13 F 0.4288 0.7898 0.9200  1 Np 2.13, 1 Pd 2.31
14 F 0.5712 0.2102 0.0800  1 Np 2.13, 1 Pd 2.31
15 F 0.5000 0.5000 0.5000  2 Pd 2.06
16 F 0.0000 0.0000 0.0000  2 Pd 2.06
17 F 0.8628 0.7749 0.2251  2 Pd 1.99-2.10
18 F 0.1372 0.2251 0.7749  2 Pd 1.99-2.10
19 F 0.6372 0.2749 0.7251  2 Pd 1.99-2.10
20 F 0.3628 0.7251 0.2749  2 Pd 1.99-2.10
21 F 0.4398 0.9826 0.3156  1 Np 2.13, 1 Pd 2.32
22 F 0.5602 0.0174 0.6844  1 Np 2.13, 1 Pd 2.32
23 F 0.2620 0.3156 0.9826  1 Np 2.13, 1 Pd 2.32
24 F 0.0602 0.1844 0.5174  1 Np 2.13, 1 Pd 2.32
25 F 0.7380 0.6844 0.0174  1 Np 2.13, 1 Pd 2.32
26 F 0.9398 0.8156 0.4826  1 Np 2.13, 1 Pd 2.32
27 F 0.2380 0.5174 0.1844  1 Np 2.13, 1 Pd 2.32
28 F 0.7620 0.4826 0.8156  1 Np 2.13, 1 Pd 2.32